Entry 1:
DFT (PBE-GGA) results for a geometry-optimized Tm2ThZn2Ga2 structure.

Calculated values
- DOS(E_F): 3.6 states/eV/f.u.
- Formation energy from the elements: -355 meV/atom

Cell: 4.3976 4.3976 9.7633 Å, 76.98 76.98 60.00°
Element x y z (fractional)
1 Tm 0.1286 0.1286 0.6143
2 Tm 0.8714 0.8714 0.3857
3 Th 0.0000 0.0000 0.0000
4 Zn 0.5987 0.5987 0.2039
5 Zn 0.4013 0.4013 0.7961
6 Ga 0.7433 0.7433 0.7700
7 Ga 0.2567 0.2567 0.2300



Entry 2:
DFT (PBE-GGA) results for a geometry-optimized Th2UGa structure.

Calculated values
- DOS(E_F): 8.8 states/eV/f.u.
- Relative energy among the computed polymorphs: 0.153 eV per formula unit
- Formation energy from the elements: 81 meV/atom

Cell: 3.8978 3.8978 6.8486 Å, 90.00 90.00 90.00°
Site moments in Bohr magnetons follow the coordinates.
Element x y z (fractional)
1 U 0.5000 0.5000 0.0000  1.94
2 Ga 0.5000 0.5000 0.5000  -0.03
3 Th 0.0000 0.0000 0.7427  0.10
4 Th 0.0000 0.0000 0.2573  0.10



Entry 3:
DFT (PBE-GGA) results for a geometry-optimized ThUGa4 structure.

Calculated values
- DOS(E_F): 11.7 states/eV/f.u.
- Formation energy from the elements: -265 meV/atom

Cell: 5.5652 5.5652 5.5652 Å, 60.00 60.00 60.00°
Site moments in Bohr magnetons follow the coordinates.
Element x y z (fractional)
1 U 0.0000 0.0000 0.0000  2.67
2 Ga 0.6254 0.6254 0.1239  0.01
3 Ga 0.6254 0.1239 0.6254  0.01
4 Ga 0.6254 0.6254 0.6254  0.01
5 Ga 0.1239 0.6254 0.6254  0.01
6 Th 0.2500 0.2500 0.2500  0.41



Entry 4:
DFT (PBE-GGA) results for a geometry-optimized Th2UGa structure.

Calculated values
- DOS(E_F): 6.5 states/eV/f.u.
- Relative energy among the computed polymorphs: 1.123 eV per formula unit
- Formation energy from the elements: 324 meV/atom

Cell: 3.2358 3.2358 11.7439 Å, 82.08 82.08 60.00°
Site moments in Bohr magnetons follow the coordinates.
Element x y z (fractional)
1 U 0.0000 0.0000 0.0000  1.90
2 Ga 0.5000 0.5000 0.5000  0.00
3 Th 0.0918 0.0918 0.7247  -0.01
4 Th 0.9082 0.9082 0.2753  -0.01



Entry 5:
DFT (PBE-GGA) results for a geometry-optimized Th2UGa structure.

Calculated values
- DOS(E_F): 9.5 states/eV/f.u.
- Relative energy among the computed polymorphs: 0.000 eV per formula unit
- Formation energy from the elements: 43 meV/atom

Cell: 4.3882 4.8740 4.8740 Å, 90.00 90.00 90.00°
Site moments in Bohr magnetons follow the coordinates.
Element x y z (fractional)
1 U 0.5000 0.5000 0.5000  2.31
2 Ga 0.5000 0.0000 0.0000  -0.02
3 Th 0.0000 0.0000 0.5000  0.20
4 Th 0.0000 0.5000 0.0000  0.20



Entry 6:
DFT (PBE-GGA) results for a geometry-optimized ThV4Ga8 structure.

Calculated values
- DOS(E_F): 8.2 states/eV/f.u.
- Formation energy from the elements: -264 meV/atom

Cell: 5.2147 6.9525 6.9525 Å, 81.92 67.97 67.97°
Element x y z (fractional)
1 Th 0.0000 0.0000 0.0000
2 V 0.0000 0.0000 0.5000
3 V 0.5000 0.0000 0.5000
4 V 0.0000 0.5000 0.0000
5 V 0.5000 0.5000 0.0000
6 Ga 0.0000 0.3311 0.6689
7 Ga 0.0000 0.6689 0.3311
8 Ga 0.3311 0.6689 0.6689
9 Ga 0.6689 0.3311 0.3311
10 Ga 0.5000 0.7657 0.2343
11 Ga 0.5000 0.2343 0.7657
12 Ga 0.2657 0.2343 0.2343
13 Ga 0.7343 0.7657 0.7657



Entry 7:
DFT (PBE-GGA) results for a geometry-optimized ThVGa structure.

Calculated values
- DOS(E_F): 3.5 states/eV/f.u.
- Relative energy among the computed polymorphs: 0.000 eV per formula unit
- Formation energy from the elements: -122 meV/atom

Cell: 5.5183 5.8195 4.2431 Å, 111.35 90.03 87.22°
Site moments in Bohr magnetons follow the coordinates.
Element x y z (fractional)
1 Ga 0.8328 0.5674 0.6233  0.00
2 Ga 0.5599 0.4003 0.0390  0.00
3 Th 0.7933 0.9992 0.3389  0.01
4 Th 0.3066 0.8406 0.7585  -0.01
5 V 0.0736 0.3996 0.0396  -0.32
6 V 0.2519 0.2688 0.4727  0.44



Entry 8:
DFT (PBE-GGA) results for a geometry-optimized ThVGa structure.

Calculated values
- DOS(E_F): 2.2 states/eV/f.u.
- Relative energy among the computed polymorphs: 0.211 eV per formula unit
- Formation energy from the elements: -51 meV/atom

Cell: 3.9208 4.4728 4.4728 Å, 120.00 90.00 90.00°
Site moments in Bohr magnetons follow the coordinates.
Element x y z (fractional)
1 Ga 0.8333 0.6667 0.3333  -0.06
2 Th 0.3334 0.3333 0.6667  0.07
3 V 0.8333 0.0000 0.0000  2.03



no.,total energy (eV per atom)
1,-3.92
2,-7.21
3,-5.40
4,-6.96
5,-7.25
6,-5.50
7,-6.64
8,-6.57